This record from Alexandria via LeMat-Bulk describes a relaxed structure of KMgF3. The functional is PBE.

Lattice parameters (Å, degrees): 3.0854 6.4784 6.4784 65.43 90.00 90.00
Last column: nearest neighbours and their distance in Å.
Atoms (fractional coordinates):
K (0.0000, 0.0000, 0.0000)  4 F 2.46-2.55
Mg (0.5000, 0.3485, 0.3485)  5 F 1.88-2.03
F (0.0000, 0.2115, 0.5679)  2 Mg 2.03
F (0.0000, 0.5679, 0.2115)  2 Mg 2.03
F (0.5000, 0.1761, 0.1761)  1 Mg 1.88

Computed properties:
V	117.8	Å³ per cell
symmetry	No. 38
DOS at the Fermi energy	0.00	states/eV per cell
VASP energy	-4.7267	eV per atom
formation energy (no corrections)	-3.07	eV/atom
total magnetic moment	0.000	μB per cell